{
  "formula": "Pr3Sn3Au",
  "functional": "PBE",
  "state": "relaxed",
  "delta_e_f_ev_per_atom": -0.7847,
  "lattice_angstrom": [[-4.6931, 0.0813, 0.3143], [-2.3476, -5.6154, 1.6034], [-1.3451, 2.9878, 14.3490]],
  "species": ["Sn", "Au", "Pr", "Pr", "Pr", "Pr", "Pr", "Pr", "Sn", "Sn", "Sn", "Au", "Sn", "Sn"],
  "fractional_positions": [[0.9803, 0.8088, 0.2305], [0.2350, 0.9170, 0.6130], [0.5291, 0.3229, 0.6189], [0.6003, 0.7226, 0.0769], [0.2627, 0.2457, 0.2288], [0.3997, 0.2774, 0.9231], [0.4709, 0.6771, 0.3811], [0.7373, 0.7543, 0.7712], [0.1394, 0.2649, 0.4564], [0.1241, 0.8274, 0.9245], [0.0197, 0.1912, 0.7695], [0.7650, 0.0830, 0.3870], [0.8759, 0.1726, 0.0755], [0.8606, 0.7351, 0.5436]]
}


{
  "formula": "Dy4HoTh2",
  "functional": "PBE",
  "state": "relaxed",
  "delta_e_f_ev_per_atom": 0.1147,
  "lattice_angstrom": [[3.4574, 0.2247, 0.2750], [-1.4740, 7.5894, -3.4602], [0.6579, -0.8003, 8.8822]],
  "species": ["Dy", "Dy", "Ho", "Th", "Th", "Dy", "Dy"],
  "fractional_positions": [[0.0475, 0.8356, 0.2828], [0.3567, 0.7242, 0.5779], [0.0000, 0.0000, 0.0000], [0.4133, 0.4140, 0.1326], [0.5867, 0.5860, 0.8674], [0.6433, 0.2758, 0.4221], [0.9525, 0.1644, 0.7172]]
}


{
  "formula": "Ba2USbS6",
  "functional": "PBE",
  "state": "relaxed",
  "formation_energy_uncorrected_kj_per_mol_atoms": -129,
  "lattice_angstrom": [[5.2242, 0.0000, 0.0000], [0.0000, 5.2242, 0.0000], [0.0000, 0.0000, 10.3874]],
  "species": ["U", "S", "S", "S", "Sb", "S", "S", "Ba", "S", "Ba"],
  "fractional_positions": [[0.5000, 0.5000, 0.0000], [0.0000, 0.5000, 0.0000], [0.5000, 0.0000, 0.5000], [0.5000, 0.0000, 0.0000], [0.5000, 0.5000, 0.5000], [0.5000, 0.5000, 0.7551], [0.0000, 0.5000, 0.5000], [0.0000, 0.0000, 0.2787], [0.5000, 0.5000, 0.2449], [0.0000, 0.0000, 0.7213]]
}


Calculated V in order - 398.6, 224.9, 283.5 Å³/cell
Calculated total moment in order - 0.0000, 0.0000, 0.1128 μB/atom
Calculated calculated total energy in order - -5.02, -5.29, -5.74 eV per atom